1.
## TlBi2S2 (PBE)

Data for a geometry-optimized TlBi2S2 structure.

- Symmetry: P4/mbm
- Spin magnetization: 0.0 μB per formula unit
- V: 29.207 A^3/atom
- Density of states at the Fermi level: 2.873 states/eV/f.u.

a b c (Å): 8.742 8.742 3.822
angles (deg): 90.00 90.00 90.00
Positions (direct):
Bi (0.707, 0.793, 0.500)
Bi (0.793, 0.293, 0.500)
Bi (0.293, 0.207, 0.500)
Bi (0.207, 0.707, 0.500)
S (0.856, 0.644, 0.000)
S (0.644, 0.144, 0.000)
S (0.144, 0.356, 0.000)
S (0.356, 0.856, 0.000)
Tl (0.500, 0.500, 0.000)
Tl (0.000, 0.000, 0.000)

2.
## TlBi2S2 (PBE)

Data for a geometry-optimized TlBi2S2 structure.

- Symmetry: I4/mmm
- Spin magnetization: 0.0 μB per formula unit
- V: 30.592 A^3/atom
- Density of states at the Fermi level: 2.569 states/eV/f.u.

a b c (Å): 5.548 5.548 6.332
angles (deg): 64.02 64.02 90.00
Positions (direct):
S (0.750, 0.250, 0.500)
S (0.250, 0.750, 0.500)
Tl (0.000, 0.000, 0.000)
Bi (0.324, 0.324, 0.351)
Bi (0.676, 0.676, 0.649)

3.
## TlBi2S2 (PBE)

Data for a geometry-optimized TlBi2S2 structure.

- Symmetry: P4/mbm
- Spin magnetization: 0.0 μB per formula unit
- V: 29.682 A^3/atom
- Density of states at the Fermi level: 1.751 states/eV/f.u.

a b c (Å): 8.845 8.845 3.794
angles (deg): 90.00 90.00 90.00
Positions (direct):
S (0.345, 0.155, 0.500)
S (0.155, 0.655, 0.500)
S (0.655, 0.845, 0.500)
S (0.845, 0.345, 0.500)
Tl (0.000, 0.000, 0.000)
Tl (0.500, 0.500, 0.000)
Bi (0.197, 0.303, 0.000)
Bi (0.803, 0.697, 0.000)
Bi (0.697, 0.197, 0.000)
Bi (0.303, 0.803, 0.000)

Short version: 1 is the least stable of them.